Material: LaNd5Cd
Method: DFT, GGA-PBE
State: optimized geometry

As for the density of states at the Fermi level: 20.86 states/eV per cell. The value obtained for the energy relative to the elements is 0.074 eV per atom. The total energy is -4.166 eV per atom. Its total magnetization is 0.00 μB per cell. As for the volume: 34.2 Å³/atom.

Geometry as POSCAR:
```
LaNd5Cd
1.0
5.928 -3.350 0.000
5.928 3.350 0.000
-3.745 0.000 12.047
La Nd Cd
2 10 2
direct
0.215 0.785 0.750
0.785 0.215 0.250
0.187 0.287 0.683
0.264 0.736 0.250
0.287 0.187 0.183
0.295 0.379 0.961
0.379 0.295 0.461
0.621 0.705 0.539
0.705 0.621 0.039
0.713 0.813 0.817
0.736 0.264 0.750
0.813 0.713 0.317
0.000 0.000 0.000
0.000 0.000 0.500
```